1.
Computed, not measured: a geometry-optimized BeSn2Pd structure at the PBE level of DFT.

Cell lengths 4.7599, 4.7599, 4.7599 Å; angles 60.00, 60.00, 60.00 degrees
With the nearest neighbours (Å) after each atom.
Fractional positions:
1 Be 0.0000 0.0000 0.0000  8 Sn 2.91
2 Sn 0.2500 0.2500 0.2500  4 Be 2.91, 4 Pd 2.91
3 Sn 0.7500 0.7500 0.7500  4 Be 2.91, 4 Pd 2.91
4 Pd 0.5000 0.5000 0.5000  8 Sn 2.91

Properties
As for the size of the total moment: 0.00 μB/cell. The space group is Fm-3m. Its energy of formation from the pure elements is 0.16 eV per atom. The value obtained for the total energy is -4.068 eV/atom. As for the calculated volume: 76.3 Å³ per cell. The calculation puts the relative energy among the computed polymorphs at 12.9 meV/atom.

=====

2.
Computed, not measured: a geometry-optimized DyY2Er5 structure at the PBE level of DFT.

Cell lengths 4.9808, 7.0550, 14.1081 Å; angles 90.00, 90.00, 90.00 degrees
With the nearest neighbours (Å) after each atom.
Fractional positions:
1 Dy 0.0000 0.0000 0.5000  4 Y 3.53, 8 Er 3.53
2 Dy 0.0000 0.5000 0.0000  4 Y 3.53, 8 Er 3.53
3 Y 0.5000 0.2501 0.6251  10 Er 3.52-3.53, 2 Dy 3.53
4 Y 0.5000 0.7499 0.3749  10 Er 3.52-3.53, 2 Dy 3.53
5 Y 0.5000 0.2499 0.1251  10 Er 3.52-3.53, 2 Dy 3.53
6 Y 0.5000 0.7501 0.8749  10 Er 3.52-3.53, 2 Dy 3.53
7 Er 0.0000 0.0000 0.0000  6 Er 3.52-3.53, 4 Y 3.53, 2 Dy 3.53
8 Er 0.0000 0.5000 0.5000  6 Er 3.52-3.53, 4 Y 3.53, 2 Dy 3.53
9 Er 0.0000 0.4999 0.7498  7 Er 3.52-3.53, 4 Y 3.52-3.53, 1 Dy 3.53
10 Er 0.0000 0.5001 0.2502  7 Er 3.52-3.53, 4 Y 3.52-3.53, 1 Dy 3.53
11 Er 0.0000 0.0001 0.2498  7 Er 3.52-3.53, 4 Y 3.52-3.53, 1 Dy 3.53
12 Er 0.0000 0.9999 0.7502  7 Er 3.52-3.53, 4 Y 3.52-3.53, 1 Dy 3.53
13 Er 0.5000 0.2498 0.8748  6 Er 3.52-3.53, 4 Y 3.52-3.53, 2 Dy 3.53
14 Er 0.5000 0.7502 0.1252  6 Er 3.52-3.53, 4 Y 3.52-3.53, 2 Dy 3.53
15 Er 0.5000 0.2502 0.3748  6 Er 3.52-3.53, 4 Y 3.52-3.53, 2 Dy 3.53
16 Er 0.5000 0.7498 0.6252  6 Er 3.52-3.53, 4 Y 3.52-3.53, 2 Dy 3.53

Properties
As for the size of the total moment: 0.00 μB/cell. The space group is Pbam. Its energy of formation from the pure elements is 0.02 eV per atom. The value obtained for the total energy is -5.021 eV/atom. As for the calculated volume: 495.8 Å³ per cell.

=====

3.
Computed, not measured: a geometry-optimized La4Pr2Nd2Sm structure at the PBE level of DFT.

Cell lengths 5.2577, 8.2965, 8.2788 Å; angles 107.57, 90.00, 108.47 degrees
With the nearest neighbours (Å) after each atom.
Fractional positions:
1 La 0.7775 0.5550 0.6677  3 Nd 3.70-3.71, 1 Sm 3.70, 3 Pr 3.71-3.73, 5 La 3.72
2 La 0.2225 0.4450 0.3323  3 Nd 3.70-3.71, 1 Sm 3.70, 3 Pr 3.71-3.73, 5 La 3.72
3 La 0.5550 0.1100 0.3314  2 Nd 3.69, 2 Sm 3.70, 4 Pr 3.71-3.73, 4 La 3.72
4 La 0.4450 0.8900 0.6686  2 Nd 3.69, 2 Sm 3.70, 4 Pr 3.71-3.73, 4 La 3.72
5 Pr 0.8882 0.7764 0.3309  3 Nd 3.69-3.70, 1 Sm 3.70, 7 La 3.71-3.73, 1 Pr 3.74
6 Pr 0.1118 0.2236 0.6691  3 Nd 3.69-3.70, 1 Sm 3.70, 7 La 3.71-3.73, 1 Pr 3.74
7 Nd 0.3338 0.6675 0.9995  5 La 3.69-3.71, 3 Pr 3.69-3.70, 2 Sm 3.71, 2 Nd 3.73
8 Nd 0.6662 0.3325 0.0005  5 La 3.69-3.71, 3 Pr 3.69-3.70, 2 Sm 3.71, 2 Nd 3.73
9 Sm 0.0000 0.0000 0.0000  2 Pr 3.70, 6 La 3.70, 4 Nd 3.71

Properties
As for the size of the total moment: 0.00 μB/cell. The space group is C2/m. Its energy of formation from the pure elements is 0.01 eV per atom. The value obtained for the total energy is -4.823 eV/atom. As for the calculated volume: 324.7 Å³ per cell.

=====

4.
Computed, not measured: a geometry-optimized YTh2Hg6 structure at the PBE level of DFT.

Cell lengths 3.4115, 8.7468, 8.7469 Å; angles 120.00, 90.00, 90.00 degrees
With the nearest neighbours (Å) after each atom.
Fractional positions:
1 Y 0.0000 0.0000 0.0000  12 Hg 3.35, 2 Y 3.41
2 Th 0.0000 0.3333 0.6667  12 Hg 3.39, 2 Th 3.41
3 Th 0.0000 0.6667 0.3333  12 Hg 3.39, 2 Th 3.41
4 Hg 0.5000 0.3301 0.3301  3 Hg 2.89-2.97
5 Hg 0.5000 0.6699 0.6699  3 Hg 2.89-2.97
6 Hg 0.5000 0.0000 0.6699  3 Hg 2.89-2.97
7 Hg 0.5000 0.6699 0.0000  3 Hg 2.89-2.97
8 Hg 0.5000 0.3301 0.0000  3 Hg 2.89-2.97
9 Hg 0.5000 0.0000 0.3301  3 Hg 2.89-2.97

Properties
As for the size of the total moment: 0.00 μB/cell. The space group is P6/mmm. Its energy of formation from the pure elements is -0.31 eV per atom. The value obtained for the total energy is -2.874 eV/atom. As for the calculated volume: 226.0 Å³ per cell.

=====

Here are the calculated ρ numbers, same order: 7.7; 7.9; 6.5; 12.9 (g/cm³).